1.
Density functional theory data (PBE-GGA) for a relaxed structure of Zr2TaCl. Values from VASP.

```
&SYSTEM
  ibrav = 0, nat = 8, ntyp = 3
/
ATOMIC_SPECIES
Ta 180.95 Ta.upf
Zr 91.22 Zr.upf
Cl 35.45 Cl.upf
CELL_PARAMETERS angstrom
-0.508 -2.416 -3.398
4.072 -1.023 0.119
-0.289 -9.297 4.059
ATOMIC_POSITIONS crystal
Ta 0.750 0.250 0.500
Zr 0.875 0.872 0.750
Zr 0.622 0.125 0.250
Ta 0.000 0.000 0.000
Zr 0.128 0.625 0.250
Zr 0.375 0.378 0.750
Cl 0.250 0.750 0.500
Cl 0.500 0.500 0.000
```

Calculated values
- E_tot (eV per atom) = -7.02
- density of states at the Fermi level (states/eV/cell) = 10.13
- uncorrected formation energy (eV per atom) = 0.68
- offset from the most stable computed form (meV/atom) = 1094
- calculated volume (Å³/cell) = 171.2
- SG = No. 122

2.
Density functional theory data (PBE-GGA) for a relaxed structure of SrLi2Br. Values from VASP.

```
&SYSTEM
  ibrav = 0, nat = 4, ntyp = 3
/
ATOMIC_SPECIES
Li 6.94 Li.upf
Sr 87.62 Sr.upf
Br 79.90 Br.upf
CELL_PARAMETERS angstrom
3.939 0.007 0.000
-1.885 3.459 0.000
0.000 0.000 9.665
ATOMIC_POSITIONS crystal
Li 0.000 0.000 0.922
Sr 0.500 0.500 0.250
Br 0.500 0.500 0.750
Li 0.000 0.000 0.578
```

Calculated values
- E_tot (eV per atom) = -2.35
- density of states at the Fermi level (states/eV/cell) = 2.90
- uncorrected formation energy (eV per atom) = -0.56
- offset from the most stable computed form (meV/atom) = 62
- calculated volume (Å³/cell) = 131.8
- SG = No. 65

3.
Density functional theory data (PBE-GGA) for a relaxed structure of Nb2CrPd. Values from VASP.

```
&SYSTEM
  ibrav = 0, nat = 4, ntyp = 3
/
ATOMIC_SPECIES
Nb 92.91 Nb.upf
Pd 106.42 Pd.upf
Cr 52.00 Cr.upf
CELL_PARAMETERS angstrom
0.000 3.179 3.179
3.179 0.000 3.179
3.179 3.179 0.000
ATOMIC_POSITIONS crystal
Nb 0.250 0.250 0.250
Nb 0.750 0.750 0.750
Pd 0.500 0.500 0.500
Cr 0.000 0.000 0.000
```

Calculated values
- E_tot (eV per atom) = -8.69
- formation energy from the elements (eV per formula unit) = 0.207
- density of states at the Fermi level (states/eV/cell) = 4.29
- offset from the most stable computed form (meV/atom) = 138
- calculated volume (Å³/cell) = 64.2
- SG = No. 225

4.
Density functional theory data (PBE-GGA) for a relaxed structure of ZrHgMo2. Values from VASP.

```
&SYSTEM
  ibrav = 0, nat = 4, ntyp = 3
/
ATOMIC_SPECIES
Mo 95.94 Mo.upf
Zr 91.22 Zr.upf
Hg 200.59 Hg.upf
CELL_PARAMETERS angstrom
-5.299 -0.475 -0.347
-2.155 -3.519 3.375
3.412 4.072 0.448
ATOMIC_POSITIONS crystal
Mo 0.000 0.000 0.000
Zr 0.250 0.750 0.500
Mo 0.500 0.500 0.000
Hg 0.750 0.250 0.500
```

Calculated values
- E_tot (eV per atom) = -7.25
- formation energy from the elements (eV per formula unit) = 1.507
- density of states at the Fermi level (states/eV/cell) = 6.10
- calculated volume (Å³/cell) = 74.1
- SG = No. 139

5.
Density functional theory data (PBE-GGA) for a relaxed structure of YPaTe2C. Values from VASP.

```
&SYSTEM
  ibrav = 0, nat = 10, ntyp = 4
/
ATOMIC_SPECIES
Y 88.91 Y.upf
Te 127.60 Te.upf
C 12.01 C.upf
Pa 231.04 Pa.upf
CELL_PARAMETERS angstrom
-1.713 -2.379 2.931
-2.343 -1.853 -2.874
11.283 -10.842 -2.208
ATOMIC_POSITIONS crystal
Y 0.500 0.000 0.133
Y 0.000 0.500 0.867
Te 0.000 0.500 0.683
Te 0.000 0.500 0.083
C 0.000 0.000 0.500
C 0.500 0.500 0.500
Te 0.500 0.000 0.917
Pa 0.500 0.000 0.569
Te 0.500 0.000 0.317
Pa 0.000 0.500 0.431
```

Calculated values
- E_tot (eV per atom) = -7.24
- density of states at the Fermi level (states/eV/cell) = 3.56
- uncorrected formation energy (eV per atom) = -0.95
- calculated volume (Å³/cell) = 271.6
- SG = No. 129

6.
Density functional theory data (PBE-GGA) for a relaxed structure of LaGdBr2O2. Values from VASP.

```
&SYSTEM
  ibrav = 0, nat = 6, ntyp = 4
/
ATOMIC_SPECIES
Gd 157.25 Gd.upf
Br 79.90 Br.upf
O 16.00 O.upf
La 138.91 La.upf
CELL_PARAMETERS angstrom
-0.366 -2.837 2.791
3.928 0.191 0.710
-1.416 6.231 6.148
ATOMIC_POSITIONS crystal
Gd 0.500 0.500 0.133
Br 0.000 0.000 0.319
O 0.000 0.500 0.005
O 0.500 0.000 0.005
Br 0.500 0.500 0.676
La 0.000 0.000 0.862
```

Calculated values
- E_tot (eV per atom) = -8.31
- density of states at the Fermi level (states/eV/cell) = 0.00
- uncorrected formation energy (eV per atom) = -2.93
- calculated volume (Å³/cell) = 141.6
- SG = No. 99

7.
Density functional theory data (PBE-GGA) for a relaxed structure of BeAsP2C. Values from VASP.

```
&SYSTEM
  ibrav = 0, nat = 5, ntyp = 4
/
ATOMIC_SPECIES
P 30.97 P.upf
C 12.01 C.upf
Be 9.01 Be.upf
As 74.92 As.upf
CELL_PARAMETERS angstrom
-2.387 -0.333 -3.255
3.570 -1.461 -2.468
-0.859 -3.823 1.021
ATOMIC_POSITIONS crystal
P 0.500 0.000 0.000
C 0.500 0.500 0.500
Be 0.000 0.000 0.000
As 0.000 0.500 0.000
P 0.000 0.000 0.500
```

Calculated values
- E_tot (eV per atom) = -3.96
- formation energy from the elements (eV per formula unit) = 8.601
- density of states at the Fermi level (states/eV/cell) = 3.07
- calculated volume (Å³/cell) = 75.1
- SG = No. 123

8.
Density functional theory data (PBE-GGA) for a relaxed structure of In4Pd7Au. Values from VASP.

```
&SYSTEM
  ibrav = 0, nat = 12, ntyp = 3
/
ATOMIC_SPECIES
Pd 106.42 Pd.upf
In 114.82 In.upf
Au 196.97 Au.upf
CELL_PARAMETERS angstrom
-1.444 -0.179 4.794
-2.675 -8.024 1.513
4.348 -1.931 3.855
ATOMIC_POSITIONS crystal
Pd 0.638 0.470 0.254
In 0.413 0.777 0.397
In 0.743 0.673 0.841
Pd 0.923 0.333 0.821
Pd 0.203 0.090 0.505
In 0.257 0.327 0.159
Pd 0.362 0.530 0.746
Pd 0.500 0.000 0.000
Au 0.000 0.000 0.000
In 0.587 0.223 0.603
Pd 0.797 0.910 0.495
Pd 0.077 0.667 0.179
```

Calculated values
- E_tot (eV per atom) = -4.48
- formation energy from the elements (eV per formula unit) = -3.173
- density of states at the Fermi level (states/eV/cell) = 4.75
- calculated volume (Å³/cell) = 229.5
- SG = No. 12